Record 1
A plane-wave DFT calculation with GGA-PBE was carried out for LiTeCl after structural relaxation.

Geometry as POSCAR:
```
LiTeCl
1.0
-1.732 1.901 2.333
-1.586 -2.631 -1.618
2.224 -4.720 5.495
Cl Li Te
1 1 1
Direct
0.000 0.000 0.117
0.667 0.333 0.235
0.333 0.667 0.648
```

Calculated values
calculated density	3.57	g/cm3
ΔE to the lowest computed polymorph	0.2156	eV/atom
E_form (uncorrected)	-0.783	eV per atom


Record 2
A plane-wave DFT calculation with GGA-PBE was carried out for Li3TeCl after structural relaxation.

Geometry as POSCAR:
```
Li3TeCl
1.0
-4.004 -0.146 -2.332
2.334 -0.500 -3.975
-0.126 -4.607 0.506
Te Li Cl
1 3 1
Direct
0.500 0.500 0.500
0.000 0.500 0.000
0.000 0.000 0.500
0.500 0.000 0.000
0.000 0.000 0.000
```

Calculated values
calculated density	3.06	g/cm3
ΔE to the lowest computed polymorph	0.0000	eV/atom
E_form (uncorrected)	-1.212	eV per atom


Record 3
A plane-wave DFT calculation with GGA-PBE was carried out for LiTe3Cl after structural relaxation.

Geometry as POSCAR:
```
LiTe3Cl
1.0
5.060 0.000 0.000
0.000 5.060 0.000
0.000 0.000 5.060
Te Li Cl
3 1 1
Direct
0.000 0.500 0.000
0.000 0.000 0.500
0.500 0.000 0.000
0.000 0.000 0.000
0.500 0.500 0.500
```

Calculated values
calculated density	5.45	g/cm3
ΔE to the lowest computed polymorph	0.0000	eV/atom
E_form (uncorrected)	0.158	eV per atom


Record 4
A plane-wave DFT calculation with GGA-PBE was carried out for LiTe2Cl6 after structural relaxation.

Geometry as POSCAR:
```
LiTe2Cl6
1.0
5.607 -0.501 -0.485
1.204 10.351 -1.065
1.204 -0.729 10.380
Li Te Cl
2 4 12
Direct
0.250 0.184 0.816
0.750 0.816 0.184
0.211 0.592 0.918
0.289 0.082 0.408
0.789 0.408 0.082
0.711 0.918 0.592
0.500 0.727 0.546
0.000 0.454 0.273
0.500 0.273 0.454
0.000 0.546 0.727
0.982 0.853 0.372
0.518 0.628 0.147
0.018 0.147 0.628
0.482 0.372 0.853
0.994 0.805 0.989
0.506 0.011 0.195
0.006 0.195 0.011
0.494 0.989 0.805
```

Calculated values
calculated density	2.58	g/cm3
E_form (uncorrected)	-0.753	eV per atom


Record 5
A plane-wave DFT calculation with GGA-PBE was carried out for LiTe3Cl after structural relaxation.

Geometry as POSCAR:
```
LiTe3Cl
1.0
5.448 0.000 0.000
0.000 5.448 0.000
0.000 0.000 5.448
Te Li Cl
3 1 1
Direct
0.000 0.500 0.000
0.000 0.000 0.500
0.500 0.000 0.000
0.500 0.500 0.500
0.000 0.000 0.000
```

Calculated values
calculated density	4.37	g/cm3
ΔE to the lowest computed polymorph	0.1814	eV/atom
E_form (uncorrected)	0.339	eV per atom


Record 6
A plane-wave DFT calculation with GGA-PBE was carried out for LiTeCl4 after structural relaxation.

Geometry as POSCAR:
```
LiTeCl4
1.0
5.839 0.563 1.943
1.252 3.201 5.135
1.856 -2.949 5.103
Li Te Cl
1 1 4
Direct
0.750 0.750 0.750
0.000 0.000 0.000
0.875 0.375 0.375
0.375 0.375 0.875
0.375 0.875 0.375
0.375 0.375 0.375
```

Calculated values
calculated density	2.75	g/cm3
ΔE to the lowest computed polymorph	1.1384	eV/atom
E_form (uncorrected)	0.246	eV per atom